(1)
Compound: K3Pr2PuO6
Source: Alexandria
Functional: PBE
Structure: optimized geometry

Geometry as extended XYZ:
```
12
Lattice="-0.440 -1.771 -6.049 -3.707 -2.685 4.356 -2.988 5.926 -0.418" Properties=species:S:1:pos:R:3 pbc="T T T"
K -4.661 0.429 2.427
K -2.474 1.041 -4.538
K -3.567 0.735 -1.056
Pr -2.618 -2.380 0.888
Pr -1.529 -2.076 -2.581
Pu 0.000 0.000 0.000
O -5.092 1.494 -3.341
O -3.631 -2.159 -1.330
O -2.043 -0.024 1.230
O -6.155 1.197 0.046
O -3.503 3.629 -0.781
O -0.980 0.273 -2.157
```

## Properties
For the density of states at the Fermi level, the calculation gives 7.14 states/eV per cell. The space group is No. 12. The crystal system is monoclinic. Its uncorrected formation energy is -241 kJ per mole of atoms. The value obtained for the magnetization is 5.000 μB per cell.



(2)
Compound: ThMgZrSc
Source: Alexandria
Functional: PBE
Structure: optimized geometry

Geometry as extended XYZ:
```
4
Lattice="5.240 0.000 0.000 2.620 4.538 0.000 2.620 1.513 4.278" Properties=species:S:1:pos:R:3 pbc="T T T"
Sc 0.000 0.000 0.000
Mg 7.859 4.538 3.209
Zr 2.620 1.513 1.070
Th 5.240 3.025 2.139
```

## Properties
For the density of states at the Fermi level, the calculation gives 7.26 states/eV per cell. The space group is No. 216. The crystal system is cubic. The value obtained for the magnetization is 0.652 μB per cell. For the total energy, the calculation gives -5.8579 eV per atom.



(3)
Compound: Ta12SiB6
Source: Alexandria
Functional: PBE
Structure: optimized geometry

Geometry as extended XYZ:
```
19
Lattice="6.589 0.000 -2.329 -3.294 5.706 -2.329 0.000 0.000 6.988" Properties=species:S:1:pos:R:3 pbc="T T T"
Ta 1.600 0.533 4.725
Ta 0.308 2.772 -0.436
Ta 2.986 2.934 2.765
Ta 1.694 5.172 -2.396
Ta -2.032 4.587 -0.066
Ta 2.555 1.119 0.436
Ta 0.740 4.587 1.894
Ta 5.326 1.119 2.396
Ta 4.342 1.653 -1.894
Ta 0.338 1.653 2.263
Ta 2.956 4.053 0.066
Ta -1.048 4.053 4.223
Si 0.000 0.000 0.000
B 0.945 2.853 4.163
B 2.349 2.853 -1.833
B 0.351 5.098 -0.496
B 2.943 0.608 2.826
B 4.591 2.245 0.496
B -1.296 3.461 1.833
```

## Properties
For the density of states at the Fermi level, the calculation gives 9.94 states/eV per cell. The space group is No. 204. The crystal system is cubic. Its uncorrected formation energy is -36 kJ per mole of atoms. The value obtained for the magnetization is 0.000 μB per cell.



(4)
Compound: HfZr3Ge
Source: Alexandria
Functional: PBE
Structure: optimized geometry

Geometry as extended XYZ:
```
5
Lattice="-2.333 0.471 -4.544 0.614 -5.024 -0.836 -4.527 -0.924 2.229" Properties=species:S:1:pos:R:3 pbc="T T T"
Ge -3.123 -2.739 -1.576
Hf 0.000 0.000 0.000
Zr 0.307 -2.512 -0.418
Zr -2.264 -0.462 1.114
Zr -1.167 0.235 -2.272
```

## Properties
The distance to the lowest polymorph of the same formula comes out at 806 meV per atom. For the density of states at the Fermi level, the calculation gives 7.96 states/eV per cell. The space group is No. 221. The crystal system is cubic. The value obtained for the magnetization is 0.000 μB per cell.



(5)
Compound: Mg4Rh3
Source: Alexandria
Functional: PBE
Structure: optimized geometry

Geometry as extended XYZ:
```
7
Lattice="-1.593 1.593 11.499 1.593 -1.593 11.499 1.593 1.593 -11.499" Properties=species:S:1:pos:R:3 pbc="T T T"
Mg 0.000 0.000 3.544
Mg 0.000 0.000 10.051
Mg 0.000 0.000 12.948
Mg 0.000 0.000 19.454
Rh 0.000 0.000 0.000
Rh 0.000 0.000 6.551
Rh 0.000 0.000 16.447
```

## Properties
The distance to the lowest polymorph of the same formula comes out at 54 meV per atom. For the density of states at the Fermi level, the calculation gives 5.67 states/eV per cell. The space group is No. 139. The crystal system is tetragonal. The value obtained for the magnetization is 0.621 μB per cell.



(6)
Compound: La2PaSe3
Source: Alexandria
Functional: PBE
Structure: optimized geometry

Geometry as extended XYZ:
```
12
Lattice="-3.249 -5.366 3.703 7.269 0.466 -0.124 -1.505 5.672 4.508" Properties=species:S:1:pos:R:3 pbc="T T T"
La -2.248 -1.559 5.320
La 3.763 -1.478 1.152
La 4.712 2.301 2.787
La 1.309 0.414 4.025
Pa 5.754 6.132 4.388
Pa 0.267 -3.417 2.424
Se 3.675 1.559 5.539
Se 2.346 1.156 1.273
Se 0.159 -0.313 6.714
Se -0.190 3.058 4.320
Se -1.057 -0.809 2.615
Se 2.613 -2.339 3.801
```

## Properties
For the density of states at the Fermi level, the calculation gives 13.64 states/eV per cell. The space group is No. 12. The crystal system is monoclinic. Its uncorrected formation energy is -164 kJ per mole of atoms. The value obtained for the magnetization is 1.659 μB per cell.



(7)
Compound: Rb2CoTcI6
Source: Alexandria
Functional: PBE
Structure: optimized geometry

Geometry as extended XYZ:
```
10
Lattice="-2.794 6.092 4.403 -6.867 -0.159 -4.137 -6.985 -0.710 3.851" Properties=species:S:1:pos:R:3 pbc="T T T"
I -5.901 1.139 1.981
I -10.744 4.084 2.136
I -2.413 1.481 0.066
I -7.248 4.451 0.200
I -3.811 4.531 2.270
I -5.850 1.402 -2.004
Co -4.830 2.966 0.133
Tc 0.000 0.000 0.000
Rb -7.304 4.174 4.194
Rb -9.341 1.049 -0.076
```

## Properties
For the density of states at the Fermi level, the calculation gives 5.95 states/eV per cell. The space group is No. 139. The crystal system is tetragonal. Its uncorrected formation energy is -41 kJ per mole of atoms. The value obtained for the magnetization is 5.328 μB per cell.



(8)
Compound: Sc3AlO
Source: Alexandria
Functional: PBE
Structure: optimized geometry

Geometry as extended XYZ:
```
10
Lattice="-4.281 0.701 -2.039 -2.002 -2.977 3.180 -4.930 7.107 7.163" Properties=species:S:1:pos:R:3 pbc="T T T"
Sc -5.753 -0.309 3.315
Sc -4.932 4.290 6.197
Sc -6.007 2.691 7.904
Sc -3.455 -0.686 4.409
Sc -3.825 2.014 3.090
Sc -7.388 2.818 5.213
Al 0.000 0.000 0.000
Al -5.037 1.497 5.456
O -6.527 4.949 4.138
O -5.826 1.721 1.557
```

## Properties
For the density of states at the Fermi level, the calculation gives 10.52 states/eV per cell. The space group is No. 119. The crystal system is tetragonal. Its uncorrected formation energy is 6 kJ per mole of atoms. The value obtained for the magnetization is 0.000 μB per cell.



(9)
Compound: AcCdBiSb
Source: Alexandria
Functional: PBE
Structure: optimized geometry

Geometry as extended XYZ:
```
4
Lattice="-1.441 4.209 -3.436 -0.223 -0.854 -5.551 -4.966 -0.095 -2.632" Properties=species:S:1:pos:R:3 pbc="T T T"
Sb -4.973 2.445 -8.714
Ac -3.315 1.630 -5.809
Bi 0.000 0.000 0.000
Cd -1.658 0.815 -2.905
```

## Properties
For the density of states at the Fermi level, the calculation gives 3.01 states/eV per cell. The space group is No. 216. The crystal system is cubic. Its uncorrected formation energy is -33 kJ per mole of atoms. The value obtained for the magnetization is 0.000 μB per cell.



(10)
Compound: LiHfC
Source: Alexandria
Functional: PBE
Structure: optimized geometry

Geometry as extended XYZ:
```
12
Lattice="3.412 0.000 0.000 0.000 4.182 0.000 0.000 0.000 10.922" Properties=species:S:1:pos:R:3 pbc="T T T"
Li 0.000 2.091 9.656
Li 1.706 0.000 4.195
Li 0.000 2.091 7.536
Li 1.706 0.000 2.075
Hf 0.000 2.091 4.777
Hf 1.706 0.000 10.239
Hf 0.000 2.091 1.599
Hf 1.706 0.000 7.060
C 0.000 0.000 0.721
C 1.706 2.091 6.182
C 0.000 0.000 8.516
C 1.706 2.091 3.054
```

## Properties
The distance to the lowest polymorph of the same formula comes out at 226 meV per atom. For the density of states at the Fermi level, the calculation gives 3.41 states/eV per cell. The space group is No. 44. The crystal system is orthorhombic. The value obtained for the magnetization is 0.000 μB per cell.



(11)
Compound: PmScBiPb
Source: Alexandria
Functional: PBE
Structure: optimized geometry

Geometry as extended XYZ:
```
4
Lattice="-4.237 -1.102 3.214 0.760 -2.642 4.684 -0.581 2.621 4.721" Properties=species:S:1:pos:R:3 pbc="T T T"
Pb -1.015 -0.281 3.155
Sc 0.000 0.000 0.000
Bi -3.044 -0.843 9.464
Pm -2.029 -0.562 6.309
```

## Properties
For the density of states at the Fermi level, the calculation gives 6.51 states/eV per cell. The space group is No. 216. The crystal system is cubic. The value obtained for the magnetization is 0.001 μB per cell. For the total energy, the calculation gives -5.0647 eV per atom.